The following is a DFT calculation (PBE) of a relaxed Pr2RhS crystal.

Results
Total DFT energy (no corrections) = -6.43 eV per atom
Energy relative to the elements, uncorrected = -4.68 eV/f.u.
SG = R3m, No. 160
Relative energy among the computed polymorphs = 144 meV/atom

Lattice parameters (Å, degrees): 4.027 4.027 22.160 90.00 90.00 120.00
Element x y z (fractional)
1 Pr 0.000 0.000 0.000
2 Pr 0.000 0.000 0.177
3 Pr 0.333 0.667 0.667
4 Pr 0.333 0.667 0.844
5 Pr 0.667 0.333 0.333
6 Pr 0.667 0.333 0.511
7 Rh 0.000 0.000 0.589
8 Rh 0.333 0.667 0.255
9 Rh 0.667 0.333 0.922
10 S 0.000 0.000 0.756
11 S 0.333 0.667 0.423
12 S 0.667 0.333 0.089